Entry 1:
3
Lattice="4.097 0.000 0.000 0.000 5.191 0.000 0.000 -2.595 4.495" Properties=species:S:1:pos:R:3 comment="PmYTe | Alexandria via LeMat-Bulk | GGA-PBE | optimized geometry" magnetic_moment_mub_per_cell=0.00 e_above_lowest_polymorph_mev_per_atom=281 spacegroup="P3m1 (156)" formation_energy_uncorrected_ev_per_atom=-0.518 pbc="T T T"
Pm 3.026 2.595 1.498
Y 0.911 0.000 2.997
Te 0.159 0.000 0.000

=====

Entry 2:
10
Lattice="2.753 -6.608 0.000 2.753 6.608 0.000 0.000 0.000 5.056" Properties=species:S:1:pos:R:3 comment="MgHPd3 | Alexandria via LeMat-Bulk | GGA-PBE | optimized geometry" magnetic_moment_mub_per_cell=0.00 e_above_lowest_polymorph_mev_per_atom=535 spacegroup="Cmcm (63)" pbc="T T T"
Pd 4.161 -2.053 3.792
Pd 0.000 0.000 2.528
Pd 1.345 2.053 1.264
Pd 4.161 2.053 1.264
H 2.753 1.106 1.264
Pd 0.000 0.000 0.000
Mg 2.753 4.278 1.264
H 2.753 -1.106 3.792
Pd 1.345 -2.053 3.792
Mg 2.753 -4.278 3.792

=====

Entry 3:
22
Lattice="-0.855 -1.108 -3.246 -3.802 -9.246 6.081 -15.730 7.508 1.581" Properties=species:S:1:pos:R:3 comment="Sm6Tm4Pu | Alexandria via LeMat-Bulk | GGA-PBE | optimized geometry" magnetic_moment_mub_per_cell=12.21 spacegroup="Cmcm (63)" pbc="T T T"
Pu -14.938 -1.647 4.497
Sm -14.947 -5.116 3.758
Sm -17.728 -3.789 4.038
Tm -12.128 -3.731 2.543
Tm -1.794 -2.201 1.224
Sm -11.211 -0.359 3.076
Tm -11.477 1.963 0.429
Tm -5.440 -6.465 3.639
Tm -8.259 0.885 1.873
Tm -14.947 3.618 0.778
Sm -0.427 -0.554 -1.623
Tm -18.593 -0.646 3.193
Sm -6.069 -3.073 2.647
Sm -8.293 3.200 -0.832
Pu -5.448 -1.199 -0.080
Sm -9.176 -2.487 1.341
Sm -16.471 2.151 3.604
Tm -8.910 -4.809 3.988
Sm -2.659 0.943 0.379
Sm -3.916 -4.997 0.812
Sm -5.440 2.270 0.658
Sm -14.318 0.227 1.770

=====

Number 1: E -5.304 eV/atom. Number 2: E -4.036 eV/atom. Number 3: E -5.322 eV/atom.